(1)
NdSm5Y6 | PBE | optimized geometry

POSCAR file:
```
NdSm5Y6
1.0
11.795 -1.305 0.000
1.764 6.001 0.000
0.882 3.000 5.413
Nd Sm Y
1 5 6
Cartesian
0.000 0.000 0.000
6.779 2.348 3.608
0.882 3.000 1.804
6.779 2.348 0.000
1.764 6.001 3.609
7.661 5.348 1.805
9.281 0.520 1.805
4.277 4.176 1.805
3.396 1.178 0.000
10.163 3.518 0.000
10.163 3.520 3.608
5.159 7.176 3.608
```

Results
- Spin magnetization: 0.00 μB per atom
- Polymorph energy (0 for the lowest one): 0.000 eV per atom
- Total DFT energy (no corrections): -5.58 eV per atom
- Calculated volume: 395.6 Å³/cell
- Formation energy from the elements: 0.0122 eV per atom


(2)
Nd4SmY | PBE | optimized geometry

POSCAR file:
```
Nd4SmY
1.0
4.650 0.000 -2.245
-0.271 15.490 -0.561
-0.120 2.778 5.689
Nd Sm Y
8 2 2
Cartesian
-0.284 14.299 2.381
2.177 6.554 1.538
3.466 1.291 -1.729
1.005 9.035 -0.886
0.793 16.977 4.612
3.254 9.232 3.770
4.544 3.969 0.502
2.082 11.713 1.345
1.095 3.872 -0.702
3.284 11.617 -2.104
-0.195 9.134 2.564
2.265 1.389 1.722
```

Results
- Spin magnetization: 0.00 μB per atom
- Polymorph energy (0 for the lowest one): 0.000 eV per atom
- Total DFT energy (no corrections): -5.03 eV per atom
- Calculated volume: 414.5 Å³/cell
- Formation energy from the elements: 0.0118 eV per atom


(3)
NdSm15Y4 | PBE | optimized geometry

POSCAR file:
```
NdSm15Y4
1.0
-2.475 4.452 -0.546
-4.152 -2.038 2.203
8.469 7.522 22.924
Nd Sm Y
1 15 4
Cartesian
0.000 0.000 0.000
-3.313 1.207 0.828
-1.609 2.721 5.442
0.076 4.218 10.003
1.766 5.718 14.577
3.451 7.215 19.138
-0.382 2.986 2.044
1.308 4.487 6.617
2.997 5.987 11.189
4.686 7.487 15.761
6.376 8.988 20.334
-1.220 -0.259 3.418
0.470 1.242 7.991
2.159 2.742 12.563
3.848 4.242 17.135
5.537 5.743 21.708
1.702 1.512 4.607
3.390 3.011 9.176
5.079 4.511 13.748
6.767 6.011 18.317
```

Results
- Spin magnetization: 0.00 μB per atom
- Total DFT energy (no corrections): -5.05 eV per atom
- Calculated volume: 671.0 Å³/cell
- Formation energy from the elements: 0.0156 eV per atom